Dy2Tm2InCo2Ge4 | PBE | optimized geometry

Final energy in eV for the cell shown: -61.51
Calculated volume in Å³/cell: 215

Geometry as extended XYZ:
```
11
Lattice="7.707 -2.108 0.000 7.707 2.108 0.000 -2.171 0.000 6.626" Properties=species:S:1:pos:R:3 pbc="T T T"
Dy 8.246 0.000 2.554
Ge 13.608 0.000 2.249
Ge 2.595 0.000 1.774
Co 11.204 0.000 2.458
Ge 10.649 0.000 4.852
Tm 8.062 0.000 6.234
Ge -0.365 0.000 4.377
Dy 4.997 0.000 4.073
Co 2.040 0.000 4.168
Tm 5.181 0.000 0.392
In 0.000 0.000 0.000
```